Below is an optimized crystal structure of Mg2NiRu, with properties calculated at the GGA-PBE level.

Unit cell a=5.368 b=5.368 c=5.368 alpha=148.25 beta=131.00 gamma=59.57
Atoms (fractional coordinates):
Mg (0.000, 0.000, 0.000)
Mg (0.718, 0.218, 0.500)
Ni (0.241, 0.741, 0.500)
Ru (0.458, 0.458, 0.000)

**Total DFT energy (no corrections)**: -4.55 eV per atom
**Formation enthalpy at 0 K**: 0.014 eV per atom
**Volume**: 15.223 Å³/atom
**DOS(E_F)**: 4.5 states/eV/cell

***

Below is an optimized crystal structure of Mg2NiRu, with properties calculated at the GGA-PBE level.

Unit cell a=3.088 b=3.088 c=6.718 alpha=90.00 beta=90.00 gamma=90.00
Atoms (fractional coordinates):
Mg (0.000, 0.000, 0.000)
Mg (0.500, 0.500, 0.340)
Ni (0.000, 0.000, 0.568)
Ru (0.500, 0.500, 0.755)

**Total DFT energy (no corrections)**: -4.51 eV per atom
**Formation enthalpy at 0 K**: 0.052 eV per atom
**Volume**: 16.012 Å³/atom
**DOS(E_F)**: 4.6 states/eV/cell